A geometry-optimized Y2Hf2Hg structure, computed with PBE.

Output
E_form, eV per atom: 0.13
Spin magnetization, μB/atom: 0.0000
Space-group type: P4/mbm

Unit cell a=7.494 b=7.494 c=4.740 alpha=90.00 beta=90.00 gamma=90.00
Sites, in units of the cell vectors:
Y 0.158 0.658 0.500
Y 0.658 0.842 0.500
Y 0.842 0.342 0.500
Y 0.342 0.158 0.500
Hf 0.361 0.861 0.000
Hf 0.861 0.639 0.000
Hf 0.639 0.139 0.000
Hf 0.139 0.361 0.000
Hg 0.000 0.000 0.000
Hg 0.500 0.500 0.000